A geometry-optimized ZnCr2Se structure. Source: Alexandria via LeMat-Bulk, functional PBE-GGA.

Output
Space group: I-42d, No. 122
ΔE to the lowest computed polymorph, eV/atom: 0.366
Formation energy (no corrections), meV per atom: 502

```
ZnCr2Se
1.0
-2.161 2.161 8.397
2.161 -2.161 8.397
2.161 2.161 -8.397
Zn Cr Se
2 4 2
direct
0.000 0.000 0.000
0.750 0.250 0.500
0.141 0.625 0.016
0.375 0.391 0.516
0.609 0.125 0.984
0.875 0.859 0.484
0.250 0.750 0.500
0.500 0.500 0.000
```

***

A geometry-optimized ZrZnCrSe2 structure. Source: Alexandria via LeMat-Bulk, functional PBE-GGA.

Output
Space group: P4/mmm, No. 123
Formation energy (no corrections), meV per atom: 268

```
ZrZnCrSe2
1.0
4.658 0.000 0.000
0.000 4.658 0.000
0.000 0.000 4.940
Zr Zn Cr Se
1 1 1 2
direct
0.000 0.000 0.000
0.500 0.500 0.000
0.000 0.000 0.500
0.000 0.500 0.500
0.500 0.000 0.500
```

***

A geometry-optimized ZrCrSe structure. Source: Alexandria via LeMat-Bulk, functional PBE-GGA.

Output
Space group: P-6m2, No. 187
ΔE to the lowest computed polymorph, eV/atom: 0.000
Formation energy (no corrections), meV per atom: -238

```
ZrCrSe
1.0
4.211 0.000 0.000
-2.106 3.647 0.000
0.000 0.000 3.359
Zr Cr Se
1 1 1
direct
0.000 0.000 0.000
0.667 0.333 0.500
0.333 0.667 0.500
```

***

A geometry-optimized ZrCrSe structure. Source: Alexandria via LeMat-Bulk, functional PBE-GGA.

Output
Space group: I4mm, No. 107
ΔE to the lowest computed polymorph, eV/atom: 0.068
Formation energy (no corrections), meV per atom: -169

```
ZrCrSe
1.0
-1.575 1.575 5.076
1.575 -1.575 5.076
1.575 1.575 -5.076
Zr Cr Se
1 1 1
direct
0.000 0.000 0.000
0.678 0.678 0.000
0.290 0.290 0.000
```

***

A geometry-optimized ZrCr3Se structure. Source: Alexandria via LeMat-Bulk, functional PBE-GGA.

Output
Space group: Pm-3m, No. 221
ΔE to the lowest computed polymorph, eV/atom: 1.044
Formation energy (no corrections), meV per atom: 1664

```
ZrCr3Se
1.0
4.847 0.000 0.000
0.000 4.847 0.000
0.000 0.000 4.847
Zr Cr Se
1 3 1
direct
0.000 0.000 0.000
0.000 0.000 0.500
0.000 0.500 0.000
0.500 0.000 0.000
0.500 0.500 0.500
```

***

A geometry-optimized ZrCrSe3 structure. Source: Alexandria via LeMat-Bulk, functional PBE-GGA.

Output
Space group: R-3, No. 148
ΔE to the lowest computed polymorph, eV/atom: 0.000
Formation energy (no corrections), meV per atom: -898

```
ZrCrSe3
1.0
3.272 1.889 6.092
-3.272 1.889 6.092
0.000 -3.779 6.092
Zr Cr Se
2 2 6
direct
0.161 0.161 0.161
0.839 0.839 0.839
0.338 0.338 0.338
0.662 0.662 0.662
0.073 0.737 0.428
0.263 0.572 0.927
0.428 0.073 0.737
0.572 0.927 0.263
0.737 0.428 0.073
0.927 0.263 0.572
```

***

Question: Which value of formation energy (no corrections) does entry 4 give?
Answer: -169 meV per atom

***

Please write out number 4 again, unchanged.
A geometry-optimized ZrCrSe structure. Source: Alexandria via LeMat-Bulk, functional PBE-GGA.

Output
Space group: I4mm, No. 107
ΔE to the lowest computed polymorph, eV/atom: 0.068
Formation energy (no corrections), meV per atom: -169

```
ZrCrSe
1.0
-1.575 1.575 5.076
1.575 -1.575 5.076
1.575 1.575 -5.076
Zr Cr Se
1 1 1
direct
0.000 0.000 0.000
0.678 0.678 0.000
0.290 0.290 0.000
```